No. 1
Compound: Ac12Ge7Rh
Source: the Alexandria database
Functional: GGA-PBE
Structure: optimized geometry

Lattice parameters (Å, degrees): 9.7670 9.7670 9.7670 109.89 109.89 109.89
Closest atoms and distances in Å follow each position.
Element x y z (fractional)
Ac (0.8852, 0.3464, 0.7383)  3 Ge 3.21-3.24
Ac (0.6536, 0.2617, 0.1148)  3 Ge 3.21-3.24
Ac (0.4022, 0.1022, 0.3199)  4 Ge 3.16-3.31
Ac (0.8978, 0.6801, 0.5978)  4 Ge 3.16-3.31
Ac (0.2617, 0.1148, 0.6536)  3 Ge 3.21-3.24
Ac (0.6801, 0.5978, 0.8978)  4 Ge 3.16-3.31
Ac (0.3199, 0.4022, 0.1022)  4 Ge 3.16-3.31
Ac (0.7383, 0.8852, 0.3464)  3 Ge 3.21-3.24
Ac (0.1022, 0.3199, 0.4022)  4 Ge 3.16-3.31
Ac (0.5978, 0.8978, 0.6801)  4 Ge 3.16-3.31
Ac (0.3464, 0.7383, 0.8852)  3 Ge 3.21-3.24
Ac (0.1148, 0.6536, 0.2617)  3 Ge 3.21-3.24
Ge (0.0590, 0.7523, 0.9738)  1 Rh 2.62, 2 Ge 2.88
Ge (0.2477, 0.0262, 0.9410)  1 Rh 2.62, 2 Ge 2.88
Ge (0.0262, 0.9410, 0.2477)  1 Rh 2.62, 2 Ge 2.88
Ge (0.5000, 0.5000, 0.5000)  6 Ac 3.28
Ge (0.9738, 0.0590, 0.7523)  1 Rh 2.62, 2 Ge 2.88
Ge (0.7523, 0.9738, 0.0590)  1 Rh 2.62, 2 Ge 2.88
Ge (0.9410, 0.2477, 0.0262)  1 Rh 2.62, 2 Ge 2.88
Rh (0.0000, 0.0000, 0.0000)  6 Ge 2.62

## Properties
Its symmetry is No. 148. For the total energy, the calculation gives -4.8734 eV/atom. The calculation puts the size of the total moment at 0.00 μB/f.u. The formation enthalpy at 0 K is -0.4247 eV/atom.

---

No. 2
Compound: Ac2GeRh2
Source: the Alexandria database
Functional: GGA-PBE
Structure: optimized geometry

Lattice parameters (Å, degrees): 5.9360 5.9360 8.1207 77.49 77.49 59.52
Closest atoms and distances in Å follow each position.
Element x y z (fractional)
Ac (0.4928, 0.2092, 0.1498)  6 Rh 3.09-3.30, 1 Ge 3.43
Ac (0.7908, 0.5072, 0.3502)  6 Rh 3.09-3.30, 1 Ge 3.43
Ac (0.5072, 0.7908, 0.8502)  6 Rh 3.09-3.30, 1 Ge 3.43
Ac (0.2092, 0.4928, 0.6498)  6 Rh 3.09-3.30, 1 Ge 3.43
Ge (0.1260, 0.8740, 0.2500)  4 Rh 2.62-2.65
Ge (0.8740, 0.1260, 0.7500)  4 Rh 2.62-2.65
Rh (0.7439, 0.0015, 0.5043)  2 Ge 2.62-2.65, 1 Rh 2.92
Rh (0.9985, 0.2561, 0.9957)  2 Ge 2.62-2.65, 1 Rh 2.92
Rh (0.2561, 0.9985, 0.4957)  2 Ge 2.62-2.65, 1 Rh 2.92
Rh (0.0015, 0.7439, 0.0043)  2 Ge 2.62-2.65, 1 Rh 2.92

## Properties
Its symmetry is No. 15. For the total energy, the calculation gives -6.2535 eV/atom. The value obtained for the excess energy over the best structure of this formula in the dataset is 0.000 eV per atom. The calculation puts the size of the total moment at 0.00 μB/f.u. The formation enthalpy at 0 K is -0.7461 eV/atom.

---

No. 3
Compound: Ac3Ge3Rh4
Source: the Alexandria database
Functional: GGA-PBE
Structure: optimized geometry

Lattice parameters (Å, degrees): 8.4727 8.4727 8.4727 109.47 109.47 109.47
Closest atoms and distances in Å follow each position.
Element x y z (fractional)
Ac (0.6250, 0.7500, 0.8750)  4 Ge 3.00, 4 Rh 3.27
Ac (0.8750, 0.2500, 0.6250)  4 Ge 3.00, 4 Rh 3.27
Ac (0.1250, 0.3750, 0.2500)  4 Ge 3.00, 4 Rh 3.27
Ac (0.3750, 0.1250, 0.7500)  4 Ge 3.00, 4 Rh 3.27
Ac (0.2500, 0.8750, 0.1250)  4 Ge 3.00, 4 Rh 3.27
Ac (0.7500, 0.6250, 0.3750)  4 Ge 3.00, 4 Rh 3.27
Ge (0.1250, 0.7500, 0.3750)  4 Rh 2.69, 4 Ac 3.00
Ge (0.3750, 0.2500, 0.1250)  4 Rh 2.69, 4 Ac 3.00
Ge (0.6250, 0.8750, 0.2500)  4 Rh 2.69, 4 Ac 3.00
Ge (0.8750, 0.6250, 0.7500)  4 Rh 2.69, 4 Ac 3.00
Ge (0.2500, 0.3750, 0.6250)  4 Rh 2.69, 4 Ac 3.00
Ge (0.7500, 0.1250, 0.8750)  4 Rh 2.69, 4 Ac 3.00
Rh (0.0000, 0.0000, 0.3557)  3 Ge 2.69
Rh (0.5000, 0.3557, 0.5000)  3 Ge 2.69
Rh (0.6443, 0.1443, 0.1443)  3 Ge 2.69
Rh (0.0000, 0.0000, 0.8557)  3 Ge 2.69
Rh (0.8557, 0.5000, 0.0000)  3 Ge 2.69
Rh (0.5000, 0.8557, 0.5000)  3 Ge 2.69
Rh (0.3557, 0.5000, 0.0000)  3 Ge 2.69
Rh (0.1443, 0.6443, 0.6443)  3 Ge 2.69

## Properties
Its symmetry is No. 220. For the total energy, the calculation gives -5.9970 eV/atom. The calculation puts the size of the total moment at 0.00 μB/f.u. The formation enthalpy at 0 K is -0.4387 eV/atom.